1.
Computed, not measured: crystalline Pr4NdDy3Se8 at its relaxed geometry at the PBE-GGA level of DFT.

Cell lengths 8.459, 8.459, 8.459 Å; angles 58.85, 58.85, 58.85 degrees
Atoms (fractional coordinates):
1 Pr 0.000 0.000 0.000
2 Pr 0.000 0.500 0.500
3 Pr 0.500 0.000 0.500
4 Pr 0.500 0.500 0.000
5 Nd 0.500 0.500 0.500
6 Dy 0.000 0.000 0.500
7 Dy 0.000 0.500 0.000
8 Dy 0.500 0.000 0.000
9 Se 0.239 0.749 0.749
10 Se 0.244 0.244 0.244
11 Se 0.251 0.251 0.761
12 Se 0.251 0.761 0.251
13 Se 0.749 0.239 0.749
14 Se 0.749 0.749 0.239
15 Se 0.756 0.756 0.756
16 Se 0.761 0.251 0.251

Computed properties:
Formation energy (no corrections) = -1806 meV/atom
Electronic total energy = -94.465 eV for the cell shown



2.
Computed, not measured: crystalline Cs2MoSe at its relaxed geometry at the PBE-GGA level of DFT.

Cell lengths 5.857, 5.857, 5.857 Å; angles 60.00, 60.00, 60.00 degrees
Atoms (fractional coordinates):
1 Cs 0.250 0.250 0.250
2 Cs 0.750 0.750 0.750
3 Mo 0.000 0.000 0.000
4 Se 0.500 0.500 0.500

Computed properties:
Formation energy (no corrections) = 731 meV/atom
Offset from the most stable computed form = 0.438 eV/atom
Electronic total energy = -13.097 eV for the cell shown